An optimized crystal structure of K2LiZnSb2. Source: Alexandria, functional PBE.

Summary:
**Total moment**: 0.000 μB per formula unit
**Theoretical density**: 3.59 g/cm³
**E_tot**: -2.6932 eV/atom

a = 9.2783 Å, b = 9.2783 Å, c = 9.2783 Å
α = 137.43°, β = 62.10°, γ = 137.01°
Atoms (fractional coordinates):
1 K 0.1679 0.2439 0.4118
2 K 0.3321 0.7439 0.0760
3 K 0.6679 0.2561 0.9240
4 K 0.8321 0.7561 0.5882
5 Li 0.2500 0.2500 0.0000
6 Li 0.7500 0.7500 0.0000
7 Zn 0.2500 0.7500 0.5000
8 Zn 0.7500 0.2500 0.5000
9 Sb 0.0946 0.7365 0.8311
10 Sb 0.4054 0.2365 0.6419
11 Sb 0.5946 0.7635 0.3581
12 Sb 0.9054 0.2635 0.1689

---

An optimized crystal structure of KLi2Zn2Sb2. Source: Alexandria, functional PBE.

Summary:
**Total moment**: 0.000 μB per formula unit
**Theoretical density**: 4.23 g/cm³
**E_tot**: -2.6708 eV/atom

a = 9.8035 Å, b = 9.8035 Å, c = 9.8035 Å
α = 26.71°, β = 26.71°, γ = 26.71°
Atoms (fractional coordinates):
1 K 0.0000 0.0000 0.0000
2 Li 0.1435 0.1435 0.1435
3 Li 0.8565 0.8565 0.8565
4 Zn 0.4526 0.4526 0.4526
5 Zn 0.5474 0.5474 0.5474
6 Sb 0.2448 0.2448 0.2448
7 Sb 0.7552 0.7552 0.7552

---

An optimized crystal structure of KLiZnSb2. Source: Alexandria, functional PBE.

Summary:
**Total moment**: 0.000 μB per formula unit
**Theoretical density**: 4.38 g/cm³
**E_tot**: -2.8872 eV/atom

a = 6.6801 Å, b = 6.6801 Å, c = 6.6801 Å
α = 137.47°, β = 137.47°, γ = 61.71°
Atoms (fractional coordinates):
1 K 0.0000 0.0000 0.0000
2 Li 0.7500 0.2500 0.5000
3 Zn 0.2500 0.7500 0.5000
4 Sb 0.3734 0.3734 0.0000
5 Sb 0.6266 0.6266 0.0000

---

An optimized crystal structure of KLi2Sc. Source: Alexandria, functional PBE.

Summary:
**Energy of formation from the pure elements**: 0.288 eV per atom
**Total moment**: 0.263 μB per formula unit
**Theoretical density**: 1.36 g/cm³
**Energy above the most stable polymorph in this dataset**: 0.00 eV per formula unit

a = 3.5715 Å, b = 3.7212 Å, c = 8.9831 Å
α = 90.00°, β = 90.13°, γ = 90.00°
Atoms (fractional coordinates):
1 K 0.0000 0.0000 0.0000
2 Li 0.4992 0.5000 0.3065
3 Li 0.5008 0.5000 0.6935
4 Sc 0.0000 0.0000 0.5000

---

An optimized crystal structure of KLiSc2. Source: Alexandria, functional PBE.

Summary:
**Energy of formation from the pure elements**: 0.696 eV per atom
**Total moment**: 0.007 μB per formula unit
**Theoretical density**: 1.87 g/cm³
**Energy above the most stable polymorph in this dataset**: 1.67 eV per formula unit

a = 5.5456 Å, b = 5.5456 Å, c = 5.5456 Å
α = 60.00°, β = 60.00°, γ = 60.00°
Atoms (fractional coordinates):
1 K 0.0000 0.0000 0.0000
2 Li 0.7500 0.7500 0.7500
3 Sc 0.2500 0.2500 0.2500
4 Sc 0.5000 0.5000 0.5000

---

An optimized crystal structure of KLi3Sc. Source: Alexandria, functional PBE.

Summary:
**Energy of formation from the pure elements**: 0.810 eV per atom
**Total moment**: 0.003 μB per formula unit
**Theoretical density**: 1.26 g/cm³
**Energy above the most stable polymorph in this dataset**: 0.59 eV per formula unit

a = 5.1640 Å, b = 5.1640 Å, c = 5.1640 Å
α = 90.00°, β = 90.00°, γ = 90.00°
Atoms (fractional coordinates):
1 K 0.0000 0.0000 0.0000
2 Li 0.0000 0.0000 0.5000
3 Li 0.0000 0.5000 0.0000
4 Li 0.5000 0.0000 0.0000
5 Sc 0.5000 0.5000 0.5000

---

An optimized crystal structure of KLi2Sc. Source: Alexandria, functional PBE.

Summary:
**Energy of formation from the pure elements**: 0.578 eV per atom
**Total moment**: 1.135 μB per formula unit
**Theoretical density**: 1.35 g/cm³
**Energy above the most stable polymorph in this dataset**: 1.16 eV per formula unit

a = 5.5503 Å, b = 5.5503 Å, c = 5.5503 Å
α = 60.00°, β = 60.00°, γ = 60.00°
Atoms (fractional coordinates):
1 K 0.0000 0.0000 0.0000
2 Li 0.2500 0.2500 0.2500
3 Li 0.5000 0.5000 0.5000
4 Sc 0.7500 0.7500 0.7500

---

An optimized crystal structure of KLi4Sc. Source: Alexandria, functional PBE.

Summary:
**Energy of formation from the pure elements**: 0.304 eV per atom
**Total moment**: 1.437 μB per formula unit
**Theoretical density**: 1.16 g/cm³

a = 6.0999 Å, b = 6.0999 Å, c = 6.0999 Å
α = 60.00°, β = 60.00°, γ = 60.00°
Atoms (fractional coordinates):
1 K 0.0000 0.0000 0.0000
2 Li 0.1324 0.6225 0.6225
3 Li 0.6225 0.1324 0.6225
4 Li 0.6225 0.6225 0.1324
5 Li 0.6225 0.6225 0.6225
6 Sc 0.2500 0.2500 0.2500

---

An optimized crystal structure of KLiSc2. Source: Alexandria, functional PBE.

Summary:
**Energy of formation from the pure elements**: 0.596 eV per atom
**Total moment**: 0.795 μB per formula unit
**Theoretical density**: 1.88 g/cm³
**Energy above the most stable polymorph in this dataset**: 1.27 eV per formula unit

a = 6.9178 Å, b = 6.9178 Å, c = 6.9178 Å
α = 142.85°, β = 142.85°, γ = 53.56°
Atoms (fractional coordinates):
1 K 0.0000 0.0000 0.0000
2 Li 0.5000 0.5000 0.0000
3 Sc 0.2500 0.7500 0.5000
4 Sc 0.7500 0.2500 0.5000

---

An optimized crystal structure of KLi2Sc. Source: Alexandria, functional PBE.

Summary:
**Energy of formation from the pure elements**: 0.303 eV per atom
**Total moment**: 0.670 μB per formula unit
**Theoretical density**: 1.35 g/cm³
**Energy above the most stable polymorph in this dataset**: 0.06 eV per formula unit

a = 11.8286 Å, b = 11.8286 Å, c = 11.8286 Å
α = 16.79°, β = 16.79°, γ = 16.79°
Atoms (fractional coordinates):
1 K 0.0000 0.0000 0.0000
2 Li 0.2383 0.2383 0.2383
3 Li 0.7617 0.7617 0.7617
4 Sc 0.5000 0.5000 0.5000

---

An optimized crystal structure of KLiSc2. Source: Alexandria, functional PBE.

Summary:
**Energy of formation from the pure elements**: 0.474 eV per atom
**Total moment**: 0.000 μB per formula unit
**Theoretical density**: 1.97 g/cm³
**Energy above the most stable polymorph in this dataset**: 0.78 eV per formula unit

a = 3.2238 Å, b = 3.2238 Å, c = 12.0483 Å
α = 90.00°, β = 90.00°, γ = 113.58°
Atoms (fractional coordinates):
1 K 0.0000 0.0000 0.0000
2 Li 0.0000 0.0000 0.5000
3 Sc 0.5000 0.5000 0.2888
4 Sc 0.5000 0.5000 0.7112

---

An optimized crystal structure of KLi2Sc. Source: Alexandria, functional PBE.

Summary:
**Energy of formation from the pure elements**: 0.498 eV per atom
**Total moment**: 0.017 μB per formula unit
**Theoretical density**: 1.29 g/cm³
**Energy above the most stable polymorph in this dataset**: 0.84 eV per formula unit

a = 6.8331 Å, b = 6.8331 Å, c = 6.8331 Å
α = 151.28°, β = 123.91°, γ = 64.22°
Atoms (fractional coordinates):
1 K 0.0000 0.0000 0.0000
2 Li 0.2701 0.7701 0.5000
3 Li 0.7299 0.2299 0.5000
4 Sc 0.5000 0.5000 0.0000

---

An optimized crystal structure of KLi2Sc. Source: Alexandria, functional PBE.

Summary:
**Energy of formation from the pure elements**: 0.506 eV per atom
**Total moment**: 1.188 μB per formula unit
**Theoretical density**: 1.34 g/cm³
**Energy above the most stable polymorph in this dataset**: 0.87 eV per formula unit

a = 5.5642 Å, b = 5.5642 Å, c = 5.5642 Å
α = 60.00°, β = 60.00°, γ = 60.00°
Atoms (fractional coordinates):
1 K 0.0000 0.0000 0.0000
2 Li 0.2500 0.2500 0.2500
3 Li 0.7500 0.7500 0.7500
4 Sc 0.5000 0.5000 0.5000

---

An optimized crystal structure of KLiSc2. Source: Alexandria, functional PBE.

Summary:
**Energy of formation from the pure elements**: 0.508 eV per atom
**Total moment**: 0.000 μB per formula unit
**Theoretical density**: 1.93 g/cm³
**Energy above the most stable polymorph in this dataset**: 0.92 eV per formula unit

a = 3.4665 Å, b = 5.4553 Å, c = 6.1741 Å
α = 90.00°, β = 90.00°, γ = 90.00°
Atoms (fractional coordinates):
1 K 0.0000 0.0000 0.0000
2 Li 0.5000 0.5000 0.0000
3 Sc 0.0000 0.5000 0.5000
4 Sc 0.5000 0.0000 0.5000

---

An optimized crystal structure of KLiSc2. Source: Alexandria, functional PBE.

Summary:
**Energy of formation from the pure elements**: 0.474 eV per atom
**Total moment**: 1.236 μB per formula unit
**Theoretical density**: 1.75 g/cm³
**Energy above the most stable polymorph in this dataset**: 0.78 eV per formula unit

a = 5.5892 Å, b = 5.5892 Å, c = 7.5055 Å
α = 94.18°, β = 94.18°, γ = 33.58°
Atoms (fractional coordinates):
1 K 0.0000 0.0000 0.0000
2 Li 0.2470 0.2470 0.6984
3 Sc 0.4997 0.4997 0.4948
4 Sc 0.7649 0.7649 0.3506

---

An optimized crystal structure of KLi2Sc. Source: Alexandria, functional PBE.

Summary:
**Energy of formation from the pure elements**: 0.406 eV per atom
**Total moment**: 0.274 μB per formula unit
**Theoretical density**: 1.40 g/cm³
**Energy above the most stable polymorph in this dataset**: 0.47 eV per formula unit

a = 6.9059 Å, b = 6.9059 Å, c = 6.9059 Å
α = 152.43°, β = 129.72°, γ = 58.30°
Atoms (fractional coordinates):
1 K 0.0000 0.0000 0.0000
2 Li 0.5369 0.5369 0.0000
3 Li 0.7393 0.2393 0.5000
4 Sc 0.2957 0.7957 0.5000

---

An optimized crystal structure of KLi2Sc. Source: Alexandria, functional PBE.

Summary:
**Energy of formation from the pure elements**: 0.321 eV per atom
**Total moment**: 0.440 μB per formula unit
**Theoretical density**: 1.37 g/cm³
**Energy above the most stable polymorph in this dataset**: 0.13 eV per formula unit

a = 3.5423 Å, b = 3.5423 Å, c = 9.4287 Å
α = 90.00°, β = 90.00°, γ = 90.00°
Atoms (fractional coordinates):
1 K 0.0000 0.0000 0.0000
2 Li 0.0000 0.0000 0.4656
3 Li 0.5000 0.5000 0.3196
4 Sc 0.5000 0.5000 0.6561

---

An optimized crystal structure of KLi2Sc. Source: Alexandria, functional PBE.

Summary:
**Energy of formation from the pure elements**: 0.384 eV per atom
**Total moment**: 0.220 μB per formula unit
**Theoretical density**: 1.42 g/cm³
**Energy above the most stable polymorph in this dataset**: 0.38 eV per formula unit

a = 6.3230 Å, b = 6.3230 Å, c = 5.9914 Å
α = 103.96°, β = 103.96°, γ = 29.69°
Atoms (fractional coordinates):
1 K 0.0000 0.0000 0.0000
2 Li 0.4537 0.4537 0.4819
3 Li 0.7582 0.7582 0.1703
4 Sc 0.2066 0.2066 0.6165

---

An optimized crystal structure of KLi3Sc. Source: Alexandria, functional PBE.

Summary:
**Energy of formation from the pure elements**: 0.692 eV per atom
**Total moment**: 1.768 μB per formula unit
**Theoretical density**: 0.87 g/cm³
**Energy above the most stable polymorph in this dataset**: 0.00 eV per formula unit

a = 5.8458 Å, b = 5.8458 Å, c = 5.8458 Å
α = 90.00°, β = 90.00°, γ = 90.00°
Atoms (fractional coordinates):
1 K 0.0000 0.0000 0.0000
2 Li 0.0000 0.5000 0.5000
3 Li 0.5000 0.0000 0.5000
4 Li 0.5000 0.5000 0.0000
5 Sc 0.5000 0.5000 0.5000

---

An optimized crystal structure of KLiSc2. Source: Alexandria, functional PBE.

Summary:
**Energy of formation from the pure elements**: 0.451 eV per atom
**Total moment**: 0.522 μB per formula unit
**Theoretical density**: 1.90 g/cm³
**Energy above the most stable polymorph in this dataset**: 0.69 eV per formula unit

a = 3.4629 Å, b = 3.4629 Å, c = 9.9084 Å
α = 90.00°, β = 90.00°, γ = 90.00°
Atoms (fractional coordinates):
1 K 0.0000 0.0000 0.0000
2 Li 0.0000 0.0000 0.5000
3 Sc 0.5000 0.5000 0.3364
4 Sc 0.5000 0.5000 0.6636